VASP calculation (PBE) on an optimized crystal structure of Tb3NdTm2P6.

Output
- Energy of formation: -1.59 eV/atom
- Total magnetic moment: 0.00 μB/f.u.
- Space group: C2/m (12)

Lattice parameters (Å, degrees): 6.9739 6.9739 6.9750 99.59 99.59 120.00
Fractional coordinates of all 12 atoms:
P 0.4237 0.0833 0.2497
P 0.9167 0.5763 0.7503
P 0.7425 0.7425 0.2488
P 0.0833 0.4237 0.2497
P 0.5763 0.9167 0.7503
P 0.2575 0.2575 0.7512
Tm 0.6671 0.3329 0.0000
Tm 0.3329 0.6671 0.0000
Tb 0.8347 0.1653 0.5000
Tb 0.1653 0.8347 0.5000
Tb 0.5000 0.5000 0.5000
Nd 0.0000 0.0000 0.0000